[1]
Below is crystalline Dy4Bi8Rh3 at its relaxed geometry, with properties calculated at the PBE-GGA level.

Cell: 4.608 4.608 18.697 Å, 90.00 90.00 90.00°
Sites, in units of the cell vectors:
1 Dy 0.000 0.500 0.108
2 Dy 0.000 0.500 0.611
3 Dy 0.500 0.000 0.389
4 Dy 0.500 0.000 0.892
5 Bi 0.000 0.000 0.248
6 Bi 0.000 0.000 0.752
7 Bi 0.000 0.500 0.414
8 Bi 0.000 0.500 0.923
9 Bi 0.500 0.000 0.077
10 Bi 0.500 0.000 0.586
11 Bi 0.500 0.500 0.247
12 Bi 0.500 0.500 0.753
13 Rh 0.000 0.000 0.000
14 Rh 0.000 0.000 0.500
15 Rh 0.500 0.500 0.500

**Calculated density**: 11.0 Mg/m³
**ΔE_f**: -0.549 eV/atom
**Symmetry**: No. 115
**E**: -79.7 eV per formula unit

=====

[2]
Below is crystalline Dy7Te4P4 at its relaxed geometry, with properties calculated at the PBE-GGA level.

Cell: 10.995 10.995 10.995 Å, 96.41 96.41 140.96°
Sites, in units of the cell vectors:
1 Dy 0.000 0.291 0.291
2 Dy 0.000 0.709 0.709
3 Dy 0.134 0.500 0.634
4 Dy 0.243 0.243 0.000
5 Dy 0.283 0.283 0.566
6 Dy 0.283 0.717 0.000
7 Dy 0.291 0.000 0.291
8 Dy 0.500 0.134 0.634
9 Dy 0.500 0.866 0.366
10 Dy 0.709 0.000 0.709
11 Dy 0.717 0.283 0.000
12 Dy 0.717 0.717 0.434
13 Dy 0.757 0.757 0.000
14 Dy 0.866 0.500 0.366
15 Te 0.127 0.127 0.254
16 Te 0.127 0.873 0.000
17 Te 0.332 0.500 0.832
18 Te 0.500 0.332 0.832
19 Te 0.500 0.668 0.168
20 Te 0.668 0.500 0.168
21 Te 0.873 0.127 0.000
22 Te 0.873 0.873 0.746
23 P 0.106 0.606 0.212
24 P 0.106 0.894 0.500
25 P 0.394 0.606 0.500
26 P 0.394 0.894 0.788
27 P 0.606 0.106 0.212
28 P 0.606 0.394 0.500
29 P 0.894 0.106 0.500
30 P 0.894 0.394 0.788

**Calculated density**: 7.5 Mg/m³
**Symmetry**: No. 139
**E**: -85.8 eV per formula unit

=====

[3]
Below is crystalline AgAs2 at its relaxed geometry, with properties calculated at the PBE-GGA level.

Cell: 5.590 5.590 5.590 Å, 60.00 60.00 60.00°
Sites, in units of the cell vectors:
1 Ag 0.125 0.125 0.125
2 Ag 0.875 0.875 0.875
3 As 0.000 0.500 0.500
4 As 0.500 0.000 0.500
5 As 0.500 0.500 0.000
6 As 0.500 0.500 0.500

**Calculated density**: 6.9 Mg/m³
**ΔE_f**: 0.421 eV/atom
**Symmetry**: No. 227
**E**: -10.9 eV per formula unit

=====

[4]
Below is crystalline TlTcAg2 at its relaxed geometry, with properties calculated at the PBE-GGA level.

Cell: 6.010 6.010 6.010 Å, 151.84 132.03 56.56°
Sites, in units of the cell vectors:
1 Tl 0.000 0.000 0.000
2 Tc 0.500 0.500 0.000
3 Ag 0.268 0.768 0.500
4 Ag 0.732 0.232 0.500

**Calculated density**: 11.4 Mg/m³
**ΔE_f**: 0.524 eV/atom
**Energy relative to the lowest polymorph listed for this composition**: 0 meV per atom
**Symmetry**: No. 71
**E**: -16.3 eV per formula unit

=====

[5]
Below is crystalline AlHNF2 at its relaxed geometry, with properties calculated at the PBE-GGA level.

Cell: 3.639 3.639 4.000 Å, 90.00 90.00 90.00°
Sites, in units of the cell vectors:
1 Al 0.000 0.000 0.000
2 H 0.500 0.500 0.500
3 N 0.000 0.000 0.500
4 F 0.000 0.500 0.000
5 F 0.500 0.000 0.000

**Calculated density**: 2.5 Mg/m³
**Energy relative to the lowest polymorph listed for this composition**: 0 meV per atom
**Symmetry**: No. 123
**E**: -24.0 eV per formula unit

=====

[6]
Below is crystalline SnBiPd2Se at its relaxed geometry, with properties calculated at the PBE-GGA level.

Cell: 4.948 4.948 5.894 Å, 90.00 90.00 90.00°
Sites, in units of the cell vectors:
1 Sn 0.000 0.000 0.000
2 Bi 0.000 0.000 0.500
3 Pd 0.000 0.500 0.000
4 Pd 0.500 0.000 0.000
5 Se 0.500 0.500 0.500

**Calculated density**: 7.1 Mg/m³
**Symmetry**: No. 123
**E**: -18.8 eV per formula unit

=====

[7]
Below is crystalline CaLu5 at its relaxed geometry, with properties calculated at the PBE-GGA level.

Cell: 9.312 9.312 3.674 Å, 90.00 90.00 143.90°
Sites, in units of the cell vectors:
1 Ca 0.000 0.000 0.000
2 Lu 0.185 0.815 0.500
3 Lu 0.346 0.654 0.000
4 Lu 0.500 0.500 0.500
5 Lu 0.654 0.346 0.000
6 Lu 0.815 0.185 0.500

**Calculated density**: 8.1 Mg/m³
**ΔE_f**: 0.159 eV/atom
**Symmetry**: No. 65
**E**: -23.6 eV per formula unit

=====

[8]
Below is crystalline Al3Hg3Pb at its relaxed geometry, with properties calculated at the PBE-GGA level.

Cell: 7.419 7.419 7.419 Å, 90.00 90.00 90.00°
Sites, in units of the cell vectors:
1 Al 0.000 0.250 0.500
2 Al 0.000 0.750 0.500
3 Al 0.250 0.500 0.000
4 Al 0.500 0.000 0.250
5 Al 0.500 0.000 0.750
6 Al 0.750 0.500 0.000
7 Hg 0.000 0.500 0.250
8 Hg 0.000 0.500 0.750
9 Hg 0.250 0.000 0.500
10 Hg 0.500 0.250 0.000
11 Hg 0.500 0.750 0.000
12 Hg 0.750 0.000 0.500
13 Pb 0.000 0.000 0.000
14 Pb 0.500 0.500 0.500

**Calculated density**: 7.2 Mg/m³
**ΔE_f**: 0.410 eV/atom
**Symmetry**: No. 223
**E**: -13.0 eV per formula unit

=====

[9]
Below is crystalline LaTeAu4 at its relaxed geometry, with properties calculated at the PBE-GGA level.

Cell: 5.749 5.749 5.749 Å, 60.00 60.00 60.00°
Sites, in units of the cell vectors:
1 La 0.000 0.000 0.000
2 Te 0.750 0.750 0.750
3 Au 0.375 0.375 0.375
4 Au 0.375 0.375 0.875
5 Au 0.375 0.875 0.375
6 Au 0.875 0.375 0.375

**Calculated density**: 13.0 Mg/m³
**Symmetry**: No. 216
**E**: -24.2 eV per formula unit

=====

[10]
Below is crystalline LiCoRe2Ir at its relaxed geometry, with properties calculated at the PBE-GGA level.

Cell: 4.370 4.370 4.595 Å, 90.00 90.00 90.00°
Sites, in units of the cell vectors:
1 Li 0.000 0.000 0.000
2 Co 0.500 0.500 0.500
3 Re 0.000 0.500 0.500
4 Re 0.500 0.000 0.500
5 Ir 0.500 0.500 0.000

**Calculated density**: 11.9 Mg/m³
**ΔE_f**: 1.513 eV/atom
**Symmetry**: No. 123
**E**: -35.2 eV per formula unit

=====

[11]
Below is crystalline NaEuSbAu at its relaxed geometry, with properties calculated at the PBE-GGA level.

Cell: 5.287 5.287 5.287 Å, 60.00 60.00 60.00°
Sites, in units of the cell vectors:
1 Na 0.000 0.000 0.000
2 Eu 0.500 0.500 0.500
3 Sb 0.750 0.750 0.750
4 Au 0.250 0.250 0.250

**Calculated density**: 7.8 Mg/m³
**Symmetry**: No. 216
**E**: -21.5 eV per formula unit

=====

[12]
Below is crystalline Tm5Te5P at its relaxed geometry, with properties calculated at the PBE-GGA level.

Cell: 7.324 7.324 8.441 Å, 107.21 107.21 48.41°
Sites, in units of the cell vectors:
1 Tm 0.000 0.000 0.000
2 Tm 0.345 0.345 0.154
3 Tm 0.348 0.348 0.690
4 Tm 0.652 0.652 0.310
5 Tm 0.655 0.655 0.846
6 Te 0.162 0.162 0.821
7 Te 0.172 0.172 0.337
8 Te 0.500 0.500 0.500
9 Te 0.828 0.828 0.663
10 Te 0.838 0.838 0.179
11 P 0.500 0.500 0.000

**Calculated density**: 7.8 Mg/m³
**Symmetry**: No. 12
**E**: -58.6 eV per formula unit

=====

[13]
Below is crystalline AcCdSn4 at its relaxed geometry, with properties calculated at the PBE-GGA level.

Cell: 6.299 6.299 6.299 Å, 60.00 60.00 60.00°
Sites, in units of the cell vectors:
1 Ac 0.000 0.000 0.000
2 Cd 0.250 0.250 0.250
3 Sn 0.125 0.625 0.625
4 Sn 0.625 0.125 0.625
5 Sn 0.625 0.625 0.125
6 Sn 0.625 0.625 0.625

**Calculated density**: 7.7 Mg/m³
**ΔE_f**: -0.265 eV/atom
**Energy relative to the lowest polymorph listed for this composition**: 0 meV per atom
**Symmetry**: No. 216
**E**: -22.6 eV per formula unit

=====

[14]
Below is crystalline LaNi2MoRu at its relaxed geometry, with properties calculated at the PBE-GGA level.

Cell: 4.547 4.547 4.749 Å, 90.00 90.00 90.00°
Sites, in units of the cell vectors:
1 La 0.000 0.000 0.000
2 Ni 0.000 0.500 0.000
3 Ni 0.500 0.000 0.000
4 Mo 0.500 0.500 0.500
5 Ru 0.000 0.000 0.500

**Calculated density**: 7.7 Mg/m³
**ΔE_f**: 1.825 eV/atom
**Symmetry**: No. 123
**E**: -27.5 eV per formula unit

=====

[15]
Below is crystalline Nd3Sm2Er3 at its relaxed geometry, with properties calculated at the PBE-GGA level.

Cell: 10.809 10.809 10.809 Å, 152.83 152.69 38.91°
Sites, in units of the cell vectors:
1 Nd 0.000 0.000 0.000
2 Nd 0.376 0.876 0.500
3 Nd 0.624 0.124 0.500
4 Sm 0.249 0.249 0.000
5 Sm 0.751 0.751 0.000
6 Er 0.125 0.625 0.500
7 Er 0.500 0.500 0.000
8 Er 0.875 0.375 0.500

**Calculated density**: 7.8 Mg/m³
**ΔE_f**: 0.019 eV/atom
**Energy relative to the lowest polymorph listed for this composition**: 0 meV per atom
**Symmetry**: No. 71
**E**: -37.3 eV per formula unit

=====

[16]
Below is crystalline Nb2ReHgIr at its relaxed geometry, with properties calculated at the PBE-GGA level.

Cell: 4.869 4.869 4.757 Å, 90.00 90.00 90.00°
Sites, in units of the cell vectors:
1 Nb 0.000 0.500 0.000
2 Nb 0.500 0.000 0.000
3 Re 0.000 0.000 0.000
4 Hg 0.500 0.500 0.500
5 Ir 0.000 0.000 0.500

**Calculated density**: 11.3 Mg/m³
**ΔE_f**: 1.136 eV/atom
**Symmetry**: No. 123
**E**: -36.1 eV per formula unit

=====

[17]
Below is crystalline Mg2ZrI at its relaxed geometry, with properties calculated at the PBE-GGA level.

Cell: 6.626 6.626 6.626 Å, 101.66 101.66 126.57°
Sites, in units of the cell vectors:
1 Mg 0.115 0.125 0.490
2 Mg 0.375 0.885 0.010
3 Mg 0.635 0.625 0.510
4 Mg 0.875 0.365 0.990
5 Zr 0.250 0.750 0.500
6 Zr 0.500 0.500 0.000
7 I 0.000 0.000 0.000
8 I 0.750 0.250 0.500

**Calculated density**: 4.2 Mg/m³
**Energy relative to the lowest polymorph listed for this composition**: 0 meV per atom
**Symmetry**: No. 122
**E**: -12.0 eV per formula unit

=====

[18]
Below is crystalline MnCoSb2 at its relaxed geometry, with properties calculated at the PBE-GGA level.

Cell: 7.876 7.876 7.876 Å, 24.77 24.77 24.77°
Sites, in units of the cell vectors:
1 Mn 0.000 0.000 0.000
2 Co 0.500 0.500 0.500
3 Sb 0.241 0.241 0.241
4 Sb 0.759 0.759 0.759

**Calculated density**: 7.9 Mg/m³
**Energy relative to the lowest polymorph listed for this composition**: 205 meV per atom
**Symmetry**: No. 166
**E**: -23.5 eV per formula unit

=====

[19]
Below is crystalline La4Pr3Y4 at its relaxed geometry, with properties calculated at the PBE-GGA level.

Cell: 20.357 20.357 20.357 Å, 169.66 165.28 18.02°
Sites, in units of the cell vectors:
1 La 0.091 0.091 0.000
2 La 0.272 0.272 0.000
3 La 0.728 0.728 0.000
4 La 0.909 0.909 0.000
5 Pr 0.000 0.000 0.000
6 Pr 0.363 0.363 0.000
7 Pr 0.637 0.637 0.000
8 Y 0.181 0.181 0.000
9 Y 0.455 0.455 0.000
10 Y 0.545 0.545 0.000
11 Y 0.819 0.819 0.000

**Calculated density**: 5.8 Mg/m³
**ΔE_f**: 0.017 eV/atom
**Energy relative to the lowest polymorph listed for this composition**: 0 meV per atom
**Symmetry**: No. 71
**E**: -59.7 eV per formula unit

=====

[20]
Below is crystalline CeTmPa2 at its relaxed geometry, with properties calculated at the PBE-GGA level.

Cell: 4.627 4.627 4.895 Å, 90.00 90.00 90.00°
Sites, in units of the cell vectors:
1 Ce 0.000 0.000 0.000
2 Tm 0.500 0.500 0.000
3 Pa 0.000 0.500 0.500
4 Pa 0.500 0.000 0.500

**Calculated density**: 12.2 Mg/m³
**ΔE_f**: 0.174 eV/atom
**Energy relative to the lowest polymorph listed for this composition**: 35 meV per atom
**Symmetry**: No. 123
**E**: -28.7 eV per formula unit